A plane-wave DFT calculation with PBE was carried out for an optimized crystal structure of CdGa2Pt.

Calculated total energy = -3.575 eV per atom
Space-group type = R3m, No. 160
Fermi-level density of states = 0.466 states/eV/atom
ΔH_f (0 K) = -0.32 eV per atom

Geometry as POSCAR:
```
CdGa2Pt
1.0
2.1534 1.2433 4.7244
-2.1534 1.2433 4.7244
0.0000 -2.4865 4.7244
Cd Ga Pt
1 2 1
Direct
0.0000 0.0000 0.0000
0.2164 0.2164 0.2164
0.4307 0.4307 0.4307
0.8058 0.8058 0.8058
```